YCuAg2Cl6, relaxed, DFT PBE; E_form (uncorrected) = -1108 kJ/mol of formula units; symmetry = P1 (1)
1.0
6.796 0.000 0.000
1.463 6.661 0.000
3.382 2.090 5.917
Y Cu Ag Cl
1 1 2 6
Cartesian
0.000 0.000 0.000 Y
8.418 6.002 5.433 Cu
4.773 7.292 2.120 Ag
6.806 3.424 3.028 Ag
1.217 2.015 1.240 Cl
4.379 2.775 3.575 Cl
3.547 5.151 0.641 Cl
8.073 3.752 5.402 Cl
7.052 5.975 2.296 Cl
10.361 6.789 4.640 Cl

Li2AgSnO4, relaxed, DFT PBE; E_form (uncorrected) = -1032 kJ/mol of formula units; symmetry = P2/m (10)
1.0
5.675 0.000 0.000
0.000 3.067 0.000
-2.597 0.000 5.339
Li Ag Sn O
2 1 1 4
Cartesian
0.000 0.000 0.000 Li
1.539 1.533 2.670 Li
-1.299 0.000 2.670 Ag
2.838 1.533 0.000 Sn
-1.551 1.533 4.234 O
1.987 0.000 1.193 O
1.091 0.000 4.147 O
4.628 1.533 1.106 O

La4MoRu, relaxed, DFT PBE; symmetry = F-43m (216); formation enthalpy at 0 K = 1127 meV per atom
1.0
0.000 4.352 4.352
4.352 0.000 4.352
4.352 4.352 0.000
La Mo Ru
4 1 1
Cartesian
1.092 1.092 1.092 La
3.260 3.260 1.092 La
3.260 1.092 3.260 La
1.092 3.260 3.260 La
6.529 6.529 6.529 Mo
4.352 4.352 4.352 Ru

Er3ThCo, relaxed, DFT PBE; symmetry = Pm-3m (221); formation enthalpy at 0 K = 45 meV per atom
1.0
5.214 0.000 0.000
0.000 5.214 0.000
0.000 0.000 5.214
Er Th Co
3 1 1
Cartesian
0.000 0.000 2.607 Er
0.000 2.607 0.000 Er
2.607 0.000 0.000 Er
2.607 2.607 2.607 Th
0.000 0.000 0.000 Co

BaCrW2, relaxed, DFT PBE; symmetry = C2/m (12); formation enthalpy at 0 K = 898 meV per atom
1.0
3.680 -2.128 0.000
3.680 2.128 0.000
-2.443 0.000 6.401
Ba Cr W
1 1 2
Cartesian
0.000 0.000 0.000 Ba
2.458 0.000 3.200 Cr
0.006 0.000 3.754 W
4.910 0.000 2.647 W

Ge6IrOs, relaxed, DFT PBE; symmetry = P-1 (2); formation enthalpy at 0 K = 87 meV per atom
1.0
4.415 0.000 0.000
-2.031 5.939 0.000
-2.134 -1.865 5.803
Ge Ir Os
6 1 1
Cartesian
-0.135 -0.082 1.475 Ge
-1.946 2.001 4.323 Ge
-0.401 3.953 1.401 Ge
0.651 0.122 4.402 Ge
2.195 2.073 1.480 Ge
0.385 4.156 4.328 Ge
2.208 0.000 0.000 Ir
0.125 2.037 2.901 Os

| no. | V (A^3/atom) |
| --- | --- |
| 1 | 26.8 |
| 2 | 11.6 |
| 3 | 27.5 |
| 4 | 28.4 |
| 5 | 25.1 |
| 6 | 19.0 |